[1]
DFT (GGA-PBE) results for crystalline SiPtBr2 at its relaxed geometry.

```
data_SiPtBr2
_chemical_formula_sum 'Si2 Pt2 Br4'
_symmetry_space_group_name_H-M 'I m m 2'
_symmetry_Int_Tables_number 44
_cell_length_a 3.4574
_cell_length_b 4.1980
_cell_length_c 14.2858
_cell_angle_alpha 90.00
_cell_angle_beta 90.00
_cell_angle_gamma 90.00
loop_
_symmetry_equiv_pos_as_xyz
'x,y,z'
'-x,-y,z'
'-x,y,z'
'x,-y,z'
'x+1/2,y+1/2,z+1/2'
'-x+1/2,-y+1/2,z+1/2'
'-x+1/2,y+1/2,z+1/2'
'x+1/2,-y+1/2,z+1/2'
loop_
_atom_site_label
_atom_site_type_symbol
_atom_site_fract_x
_atom_site_fract_y
_atom_site_fract_z
Si1 Si 0.0000 0.0000 0.0000
Pt1 Pt 0.0000 0.5000 0.6182
Br1 Br 0.0000 0.0000 0.4086
Br2 Br 0.0000 0.5000 0.1600
```

Calculated values
Crystal system: orthorhombic
ΔE_f (raw): 0.1254 eV per atom

=====

[2]
DFT (GGA-PBE) results for crystalline Si2PtBr at its relaxed geometry.

```
data_Si2PtBr
_chemical_formula_sum 'Si6 Pt3 Br3'
_symmetry_space_group_name_H-M 'R -3 m'
_symmetry_Int_Tables_number 166
_symmetry_space_group_name_Hall '-R 3 2"'
_cell_length_a 3.9912
_cell_length_b 3.9912
_cell_length_c 18.1038
_cell_angle_alpha 90.00
_cell_angle_beta 90.00
_cell_angle_gamma 120.00
loop_
_atom_site_label
_atom_site_type_symbol
_atom_site_fract_x
_atom_site_fract_y
_atom_site_fract_z
Si1 Si 0.0000 0.0000 0.2123
Pt1 Pt 0.0000 0.0000 0.5000
Br1 Br 0.0000 0.0000 0.0000
```

Calculated values
Crystal system: trigonal
ΔE_f (raw): -0.1316 eV per atom

=====

[3]
DFT (GGA-PBE) results for crystalline SiPt2Br at its relaxed geometry.

```
data_SiPt2Br
_chemical_formula_sum 'Si1 Pt2 Br1'
_symmetry_space_group_name_H-M 'P 4/m m m'
_symmetry_Int_Tables_number 123
_symmetry_space_group_name_Hall '-P 4 2'
_cell_length_a 4.4391
_cell_length_b 4.4391
_cell_length_c 3.4347
_cell_angle_alpha 90.00
_cell_angle_beta 90.00
_cell_angle_gamma 90.00
loop_
_atom_site_label
_atom_site_type_symbol
_atom_site_fract_x
_atom_site_fract_y
_atom_site_fract_z
Si1 Si 0.0000 0.0000 0.0000
Pt1 Pt 0.0000 0.5000 0.5000
Br1 Br 0.5000 0.5000 0.0000
```

Calculated values
Crystal system: tetragonal
ΔE_f (raw): 0.4469 eV per atom

=====

[4]
DFT (GGA-PBE) results for crystalline Si2PtBr at its relaxed geometry.

```
data_Si2PtBr
_chemical_formula_sum 'Si4 Pt2 Br2'
_symmetry_space_group_name_H-M 'I m m 2'
_symmetry_Int_Tables_number 44
_cell_length_a 3.1032
_cell_length_b 4.9098
_cell_length_c 9.9770
_cell_angle_alpha 90.00
_cell_angle_beta 90.00
_cell_angle_gamma 90.00
loop_
_symmetry_equiv_pos_as_xyz
'x,y,z'
'-x,-y,z'
'-x,y,z'
'x,-y,z'
'x+1/2,y+1/2,z+1/2'
'-x+1/2,-y+1/2,z+1/2'
'-x+1/2,y+1/2,z+1/2'
'x+1/2,-y+1/2,z+1/2'
loop_
_atom_site_label
_atom_site_type_symbol
_atom_site_fract_x
_atom_site_fract_y
_atom_site_fract_z
Si1 Si 0.0000 0.0000 0.0000
Si2 Si 0.0000 0.5000 0.2592
Pt1 Pt 0.0000 0.0000 0.5817
Br1 Br 0.0000 0.5000 0.8327
```

Calculated values
Crystal system: orthorhombic
ΔE_f (raw): 0.3153 eV per atom

=====

[5]
DFT (GGA-PBE) results for crystalline SiPtBr2 at its relaxed geometry.

```
data_SiPtBr2
_chemical_formula_sum 'Si1 Pt1 Br2'
_symmetry_space_group_name_H-M 'P 4/m m m'
_symmetry_Int_Tables_number 123
_symmetry_space_group_name_Hall '-P 4 2'
_cell_length_a 4.8047
_cell_length_b 4.8047
_cell_length_c 3.5137
_cell_angle_alpha 90.00
_cell_angle_beta 90.00
_cell_angle_gamma 90.00
loop_
_atom_site_label
_atom_site_type_symbol
_atom_site_fract_x
_atom_site_fract_y
_atom_site_fract_z
Si1 Si 0.0000 0.0000 0.0000
Pt1 Pt 0.5000 0.5000 0.0000
Br1 Br 0.0000 0.5000 0.5000
```

Calculated values
Crystal system: tetragonal
ΔE_f (raw): 0.6973 eV per atom

=====

[6]
DFT (GGA-PBE) results for crystalline SiPtBr2 at its relaxed geometry.

```
data_SiPtBr2
_chemical_formula_sum 'Si2 Pt2 Br4'
_symmetry_space_group_name_H-M 'I m m m'
_symmetry_Int_Tables_number 71
_symmetry_space_group_name_Hall '-I 2 2'
_cell_length_a 3.4799
_cell_length_b 3.6906
_cell_length_c 15.1741
_cell_angle_alpha 90.00
_cell_angle_beta 90.00
_cell_angle_gamma 90.00
loop_
_atom_site_label
_atom_site_type_symbol
_atom_site_fract_x
_atom_site_fract_y
_atom_site_fract_z
Si1 Si 0.0000 0.0000 0.0000
Pt1 Pt 0.0000 0.0000 0.5000
Br1 Br 0.0000 0.5000 0.3501
```

Calculated values
Crystal system: orthorhombic
ΔE_f (raw): 0.0557 eV per atom

=====

[7]
DFT (GGA-PBE) results for crystalline Si2PtBr at its relaxed geometry.

```
data_Si2PtBr
_chemical_formula_sum 'Si8 Pt4 Br4'
_symmetry_space_group_name_H-M 'I -4 2 d'
_symmetry_Int_Tables_number 122
_symmetry_space_group_name_Hall 'I -4 2bw'
_cell_length_a 5.8275
_cell_length_b 5.8275
_cell_length_c 12.1406
_cell_angle_alpha 90.00
_cell_angle_beta 90.00
_cell_angle_gamma 90.00
loop_
_atom_site_label
_atom_site_type_symbol
_atom_site_fract_x
_atom_site_fract_y
_atom_site_fract_z
Si1 Si 0.1565 0.2500 0.1250
Pt1 Pt 0.0000 0.0000 0.0000
Br1 Br 0.0000 0.0000 0.5000
```

Calculated values
Crystal system: tetragonal
ΔE_f (raw): -0.0044 eV per atom

=====

[8]
DFT (GGA-PBE) results for crystalline Si2PtBr at its relaxed geometry.

```
data_Si2PtBr
_chemical_formula_sum 'Si2 Pt1 Br1'
_symmetry_space_group_name_H-M 'P 1 m 1'
_symmetry_Int_Tables_number 6
_cell_length_a 4.7049
_cell_length_b 3.5106
_cell_length_c 6.3629
_cell_angle_alpha 90.00
_cell_angle_beta 97.46
_cell_angle_gamma 90.00
loop_
_symmetry_equiv_pos_as_xyz
'x,y,z'
'x,-y,z'
loop_
_atom_site_label
_atom_site_type_symbol
_atom_site_fract_x
_atom_site_fract_y
_atom_site_fract_z
Si1 Si 0.0000 0.0000 0.0000
Si2 Si 0.3336 0.5000 0.1382
Pt1 Pt 0.8321 0.5000 0.2011
Br1 Br 0.8011 0.0000 0.6553
```

Calculated values
Crystal system: monoclinic
ΔE_f (raw): -0.0523 eV per atom